A relaxed BaHg2Ru crystal. Source: the Alexandria database, functional GGA-PBEsol.

The density of states at the Fermi level is 1.69 states/eV per cell. The calculated total energy is -3.13 eV/atom. The formation enthalpy at 0 K is 0.23 eV per atom. For the magnetization, the calculation gives 0.00 μB per cell.

Structure (POSCAR):
```
BaHg2Ru
1.0
3.650 0.000 0.000
0.000 3.650 0.000
0.000 0.000 7.407
Ba Hg Ru
1 2 1
direct
0.000 0.000 0.000 Ba
0.000 0.000 0.570 Hg
0.500 0.500 0.324 Hg
0.500 0.500 0.693 Ru
```